# 1
# KReH3 PBE relaxed
data_KReH3
_space_group_name_H-M_alt 'P m -3 m'
_space_group_IT_number 221
_space_group_name_Hall '-P 4 2 3'
_cell_length_a 3.8810
_cell_length_b 3.8810
_cell_length_c 3.8810
_cell_angle_alpha 90.00
_cell_angle_beta 90.00
_cell_angle_gamma 90.00
loop_
_atom_site_label
_atom_site_fract_x
_atom_site_fract_y
_atom_site_fract_z
K1 0.0000 0.0000 0.0000
Re1 0.5000 0.5000 0.5000
H1 0.0000 0.0000 0.5000
# **Uncorrected energy**: -0.189 Ry per atom
# **Density of states at the Fermi level**: 5.6 states/eV/cell
# **Energy above the lowest structure with this stoichiometry**: 1.693 eV/atom

---

# 2
# KRe3H PBE relaxed
data_KRe3H
_space_group_name_H-M_alt 'P m -3 m'
_space_group_IT_number 221
_space_group_name_Hall '-P 4 2 3'
_cell_length_a 4.5294
_cell_length_b 4.5294
_cell_length_c 4.5294
_cell_angle_alpha 90.00
_cell_angle_beta 90.00
_cell_angle_gamma 90.00
loop_
_atom_site_label
_atom_site_fract_x
_atom_site_fract_y
_atom_site_fract_z
K1 0.0000 0.0000 0.0000
Re1 0.0000 0.0000 0.5000
H1 0.5000 0.5000 0.5000
# **Uncorrected energy**: -0.272 Ry per atom
# **Density of states at the Fermi level**: 7.2 states/eV/cell
# **Energy above the lowest structure with this stoichiometry**: 2.929 eV/atom

---

# 3
# K3ReH PBE relaxed
data_K3ReH
_space_group_name_H-M_alt 'P m -3 m'
_space_group_IT_number 221
_space_group_name_Hall '-P 4 2 3'
_cell_length_a 5.3923
_cell_length_b 5.3923
_cell_length_c 5.3923
_cell_angle_alpha 90.00
_cell_angle_beta 90.00
_cell_angle_gamma 90.00
loop_
_atom_site_label
_atom_site_fract_x
_atom_site_fract_y
_atom_site_fract_z
K1 0.0000 0.0000 0.5000
Re1 0.5000 0.5000 0.5000
H1 0.0000 0.0000 0.0000
# **Uncorrected energy**: -0.197 Ry per atom
# **Density of states at the Fermi level**: 1.5 states/eV/cell

---

# 4
# K3ReH8 PBE relaxed
data_K3ReH8
_space_group_name_H-M_alt 'I -4 2 m'
_space_group_IT_number 121
_space_group_name_Hall 'I -4 2'
_cell_length_a 6.2575
_cell_length_b 6.2575
_cell_length_c 7.9375
_cell_angle_alpha 90.00
_cell_angle_beta 90.00
_cell_angle_gamma 90.00
loop_
_atom_site_label
_atom_site_fract_x
_atom_site_fract_y
_atom_site_fract_z
K1 0.0000 0.0000 0.0000
K2 0.0000 0.5000 0.2500
Re1 0.0000 0.0000 0.5000
H1 0.1106 0.1106 0.3235
H2 0.1914 0.1914 0.5546
# **Uncorrected energy**: -0.280 Ry per atom
# **Density of states at the Fermi level**: 0.0 states/eV/cell

---

# 5
# K2ReH6 PBE relaxed
data_K2ReH6
_space_group_name_H-M_alt 'F m -3 m'
_space_group_IT_number 225
_space_group_name_Hall '-F 4 2 3'
_cell_length_a 8.2795
_cell_length_b 8.2795
_cell_length_c 8.2795
_cell_angle_alpha 90.00
_cell_angle_beta 90.00
_cell_angle_gamma 90.00
loop_
_atom_site_label
_atom_site_fract_x
_atom_site_fract_y
_atom_site_fract_z
K1 0.2500 0.2500 0.2500
Re1 0.0000 0.0000 0.0000
H1 0.0000 0.0000 0.2151
# **Uncorrected energy**: -0.280 Ry per atom
# **Density of states at the Fermi level**: 0.0 states/eV/cell

---

# 6
# K2ReH5 PBE relaxed
data_K2ReH5
_space_group_name_H-M_alt 'A m m 2'
_space_group_IT_number 38
_cell_length_a 3.5101
_cell_length_b 8.5886
_cell_length_c 8.5849
_cell_angle_alpha 90.00
_cell_angle_beta 90.00
_cell_angle_gamma 90.00
loop_
_space_group_symop_operation_xyz
'x,y,z'
'-x,-y,z'
'-x,y,z'
'x,-y,z'
'x,y+1/2,z+1/2'
'-x,-y+1/2,z+1/2'
'-x,y+1/2,z+1/2'
'x,-y+1/2,z+1/2'
loop_
_atom_site_label
_atom_site_fract_x
_atom_site_fract_y
_atom_site_fract_z
K1 0.0000 0.2455 0.0000
Re1 0.5000 0.0000 0.2559
H1 0.0000 0.0000 0.2975
H2 0.5000 0.0000 0.0471
H3 0.5000 0.0000 0.4643
H4 0.5000 0.2080 0.2434
# **Uncorrected energy**: -0.286 Ry per atom
# **Density of states at the Fermi level**: 3.6 states/eV/cell

---

# 7
# K2ReH9 PBE relaxed
data_K2ReH9
_space_group_name_H-M_alt 'P -6 2 m'
_space_group_IT_number 189
_space_group_name_Hall 'P -6 -2'
_cell_length_a 9.4166
_cell_length_b 9.4166
_cell_length_c 5.4715
_cell_angle_alpha 90.00
_cell_angle_beta 90.00
_cell_angle_gamma 120.00
loop_
_atom_site_label
_atom_site_fract_x
_atom_site_fract_y
_atom_site_fract_z
K1 0.0000 0.2627 0.0000
K2 0.0000 0.5918 0.5000
Re1 0.0000 0.0000 0.5000
Re2 0.3333 0.6667 0.0000
H1 0.0000 0.1792 0.5000
H2 0.0000 0.8707 0.2816
H3 0.1395 0.6313 0.0000
H4 0.2227 0.5303 0.2267
# **Uncorrected energy**: -0.296 Ry per atom
# **Density of states at the Fermi level**: 0.0 states/eV/cell

---

# 8
# K2ReH PBE relaxed
data_K2ReH
_space_group_name_H-M_alt 'F m -3 m'
_space_group_IT_number 225
_space_group_name_Hall '-F 4 2 3'
_cell_length_a 8.0283
_cell_length_b 8.0283
_cell_length_c 8.0283
_cell_angle_alpha 90.00
_cell_angle_beta 90.00
_cell_angle_gamma 90.00
loop_
_atom_site_label
_atom_site_fract_x
_atom_site_fract_y
_atom_site_fract_z
K1 0.2500 0.2500 0.2500
Re1 0.0000 0.0000 0.0000
H1 0.0000 0.0000 0.5000
# **Uncorrected energy**: -0.207 Ry per atom
# **Density of states at the Fermi level**: 26.7 states/eV/cell
# **Energy above the lowest structure with this stoichiometry**: 0.577 eV/atom

---

# 9
# KReH3 PBE relaxed
data_KReH3
_space_group_name_H-M_alt 'P m -3 m'
_space_group_IT_number 221
_space_group_name_Hall '-P 4 2 3'
_cell_length_a 3.7787
_cell_length_b 3.7787
_cell_length_c 3.7787
_cell_angle_alpha 90.00
_cell_angle_beta 90.00
_cell_angle_gamma 90.00
loop_
_atom_site_label
_atom_site_fract_x
_atom_site_fract_y
_atom_site_fract_z
K1 0.0000 0.0000 0.0000
Re1 0.5000 0.5000 0.5000
H1 0.0000 0.5000 0.5000
# **Uncorrected energy**: -0.313 Ry per atom
# **Density of states at the Fermi level**: 2.7 states/eV/cell
# **Energy above the lowest structure with this stoichiometry**: 0.000 eV/atom

---

# 10
# KRe3H PBE relaxed
data_KRe3H
_space_group_name_H-M_alt 'P m -3 m'
_space_group_IT_number 221
_space_group_name_Hall '-P 4 2 3'
_cell_length_a 4.1623
_cell_length_b 4.1623
_cell_length_c 4.1623
_cell_angle_alpha 90.00
_cell_angle_beta 90.00
_cell_angle_gamma 90.00
loop_
_atom_site_label
_atom_site_fract_x
_atom_site_fract_y
_atom_site_fract_z
K1 0.0000 0.0000 0.0000
Re1 0.0000 0.5000 0.5000
H1 0.5000 0.5000 0.5000
# **Uncorrected energy**: -0.487 Ry per atom
# **Density of states at the Fermi level**: 8.2 states/eV/cell
# **Energy above the lowest structure with this stoichiometry**: 0.000 eV/atom

---

# 11
# K2ReH PBE relaxed
data_K2ReH
_space_group_name_H-M_alt 'I -4 2 d'
_space_group_IT_number 122
_space_group_name_Hall 'I -4 2bw'
_cell_length_a 11.9195
_cell_length_b 11.9195
_cell_length_c 3.4971
_cell_angle_alpha 90.00
_cell_angle_beta 90.00
_cell_angle_gamma 90.00
loop_
_atom_site_label
_atom_site_fract_x
_atom_site_fract_y
_atom_site_fract_z
K1 0.0638 0.2500 0.1250
Re1 0.0000 0.0000 0.5000
H1 0.0000 0.0000 0.0000
# **Uncorrected energy**: -0.249 Ry per atom
# **Density of states at the Fermi level**: 13.9 states/eV/cell
# **Energy above the lowest structure with this stoichiometry**: 0.000 eV/atom

---

# 12
# KRe2HS PBE relaxed
data_KRe2HS
_space_group_name_H-M_alt 'P 4/m m m'
_space_group_IT_number 123
_space_group_name_Hall '-P 4 2'
_cell_length_a 3.8500
_cell_length_b 3.8500
_cell_length_c 5.3598
_cell_angle_alpha 90.00
_cell_angle_beta 90.00
_cell_angle_gamma 90.00
loop_
_atom_site_label
_atom_site_fract_x
_atom_site_fract_y
_atom_site_fract_z
K1 0.0000 0.0000 0.0000
Re1 0.0000 0.5000 0.5000
H1 0.5000 0.5000 0.5000
S1 0.5000 0.5000 0.0000
# **Uncorrected energy**: -0.408 Ry per atom
# **Density of states at the Fermi level**: 4.5 states/eV/cell

---

# 13
# K2ReHW PBE relaxed
data_K2ReHW
_space_group_name_H-M_alt 'P 4/m m m'
_space_group_IT_number 123
_space_group_name_Hall '-P 4 2'
_cell_length_a 3.9417
_cell_length_b 3.9417
_cell_length_c 6.0479
_cell_angle_alpha 90.00
_cell_angle_beta 90.00
_cell_angle_gamma 90.00
loop_
_atom_site_label
_atom_site_fract_x
_atom_site_fract_y
_atom_site_fract_z
K1 0.0000 0.5000 0.0000
Re1 0.0000 0.0000 0.5000
H1 0.0000 0.0000 0.0000
W1 0.5000 0.5000 0.5000
# **Uncorrected energy**: -0.331 Ry per atom
# **Density of states at the Fermi level**: 3.9 states/eV/cell

---

# 14
# K2ZrReH PBE relaxed
data_K2ZrReH
_space_group_name_H-M_alt 'P 4/m m m'
_space_group_IT_number 123
_space_group_name_Hall '-P 4 2'
_cell_length_a 4.2079
_cell_length_b 4.2079
_cell_length_c 6.0257
_cell_angle_alpha 90.00
_cell_angle_beta 90.00
_cell_angle_gamma 90.00
loop_
_atom_site_label
_atom_site_fract_x
_atom_site_fract_y
_atom_site_fract_z
K1 0.0000 0.5000 0.0000
Zr1 0.0000 0.0000 0.5000
Re1 0.5000 0.5000 0.5000
H1 0.0000 0.0000 0.0000
# **Uncorrected energy**: -0.304 Ry per atom
# **Density of states at the Fermi level**: 4.5 states/eV/cell

---

# 15
# KH3Rh PBE relaxed
data_KH3Rh
_space_group_name_H-M_alt 'C m c m'
_space_group_IT_number 63
_space_group_name_Hall '-C 2c 2'
_cell_length_a 4.1866
_cell_length_b 11.9652
_cell_length_c 5.6364
_cell_angle_alpha 90.00
_cell_angle_beta 90.00
_cell_angle_gamma 90.00
loop_
_atom_site_label
_atom_site_fract_x
_atom_site_fract_y
_atom_site_fract_z
K1 0.0000 0.1404 0.2500
H1 0.0000 0.5000 0.0000
H2 0.1380 0.1393 0.7500
Rh1 0.0000 0.4204 0.2500
# **Uncorrected energy**: -0.267 Ry per atom
# **Density of states at the Fermi level**: 6.0 states/eV/cell
# **Energy above the lowest structure with this stoichiometry**: 0.308 eV/atom

---

# 16
# KHRh3 PBE relaxed
data_KHRh3
_space_group_name_H-M_alt 'P m -3 m'
_space_group_IT_number 221
_space_group_name_Hall '-P 4 2 3'
_cell_length_a 4.8739
_cell_length_b 4.8739
_cell_length_c 4.8739
_cell_angle_alpha 90.00
_cell_angle_beta 90.00
_cell_angle_gamma 90.00
loop_
_atom_site_label
_atom_site_fract_x
_atom_site_fract_y
_atom_site_fract_z
K1 0.0000 0.0000 0.0000
H1 0.5000 0.5000 0.5000
Rh1 0.0000 0.0000 0.5000
# **Uncorrected energy**: -0.183 Ry per atom
# **Density of states at the Fermi level**: 12.6 states/eV/cell
# **Energy above the lowest structure with this stoichiometry**: 2.196 eV/atom

---

# 17
# KH3Rh PBE relaxed
data_KH3Rh
_space_group_name_H-M_alt 'C 1 2/m 1'
_space_group_IT_number 12
_cell_length_a 7.9698
_cell_length_b 10.3675
_cell_length_c 2.8713
_cell_angle_alpha 90.00
_cell_angle_beta 100.56
_cell_angle_gamma 90.00
loop_
_space_group_symop_operation_xyz
'x,y,z'
'-x,-y,-z'
'-x,y,-z'
'x,-y,z'
'x+1/2,y+1/2,z'
'-x+1/2,-y+1/2,-z'
'-x+1/2,y+1/2,-z'
'x+1/2,-y+1/2,z'
loop_
_atom_site_label
_atom_site_fract_x
_atom_site_fract_y
_atom_site_fract_z
K1 0.0000 0.1941 0.0000
H1 0.1318 0.0000 0.5692
H2 0.1705 0.3979 0.8288
Rh1 0.1640 0.5000 0.3282
# **Uncorrected energy**: -0.283 Ry per atom
# **Density of states at the Fermi level**: 4.2 states/eV/cell
# **Energy above the lowest structure with this stoichiometry**: 0.091 eV/atom

---

# 18
# K3H4Rh PBE relaxed
data_K3H4Rh
_space_group_name_H-M_alt 'I m m m'
_space_group_IT_number 71
_space_group_name_Hall '-I 2 2'
_cell_length_a 5.1926
_cell_length_b 5.9638
_cell_length_c 8.8789
_cell_angle_alpha 90.00
_cell_angle_beta 90.00
_cell_angle_gamma 90.00
loop_
_atom_site_label
_atom_site_fract_x
_atom_site_fract_y
_atom_site_fract_z
K1 0.0000 0.0000 0.0000
K2 0.0000 0.5000 0.2338
H1 0.0000 0.0000 0.3078
H2 0.0000 0.2829 0.5000
Rh1 0.0000 0.0000 0.5000
# **Uncorrected energy**: -0.238 Ry per atom

---

# 19
# KH3Rh PBE relaxed
data_KH3Rh
_space_group_name_H-M_alt 'P -1'
_space_group_IT_number 2
_cell_length_a 5.2709
_cell_length_b 5.5868
_cell_length_c 5.5870
_cell_angle_alpha 119.99
_cell_angle_beta 90.09
_cell_angle_gamma 90.26
loop_
_space_group_symop_operation_xyz
'x,y,z'
'-x,-y,-z'
loop_
_atom_site_label
_atom_site_fract_x
_atom_site_fract_y
_atom_site_fract_z
K1 0.2500 0.1667 0.3334
H1 0.2477 0.2519 0.8760
H2 0.2512 0.6241 0.8760
H3 0.2519 0.6240 0.2481
Rh1 0.0000 0.5000 0.0000
Rh2 0.5000 0.5000 0.0000
# **Uncorrected energy**: -0.290 Ry per atom
# **Density of states at the Fermi level**: 1.9 states/eV/cell
# **Energy above the lowest structure with this stoichiometry**: 0.000 eV/atom

---

# 20
# KH3Rh PBE relaxed
data_KH3Rh
_space_group_name_H-M_alt 'C 1 2/c 1'
_space_group_IT_number 15
_cell_length_a 10.2167
_cell_length_b 9.7721
_cell_length_c 5.1739
_cell_angle_alpha 90.00
_cell_angle_beta 96.48
_cell_angle_gamma 90.00
loop_
_space_group_symop_operation_xyz
'x,y,z'
'-x,-y,-z'
'-x,y,-z+1/2'
'x,-y,z+1/2'
'x+1/2,y+1/2,z'
'-x+1/2,-y+1/2,-z'
'-x+1/2,y+1/2,-z+1/2'
'x+1/2,-y+1/2,z+1/2'
loop_
_atom_site_label
_atom_site_fract_x
_atom_site_fract_y
_atom_site_fract_z
K1 0.1957 0.1164 0.2909
H1 0.0558 0.2910 0.4407
H2 0.0862 0.4323 0.9574
H3 0.0887 0.1505 0.8334
Rh1 0.0000 0.2832 0.7500
Rh2 0.0000 0.4301 0.2500
# **Uncorrected energy**: -0.286 Ry per atom
# **Density of states at the Fermi level**: 8.4 states/eV/cell
# **Energy above the lowest structure with this stoichiometry**: 0.049 eV/atom

---

# 21
# KH3Rh PBE relaxed
data_KH3Rh
_space_group_name_H-M_alt 'C m c m'
_space_group_IT_number 63
_space_group_name_Hall '-C 2c 2'
_cell_length_a 2.9508
_cell_length_b 19.5318
_cell_length_c 4.8943
_cell_angle_alpha 90.00
_cell_angle_beta 90.00
_cell_angle_gamma 90.00
loop_
_atom_site_label
_atom_site_fract_x
_atom_site_fract_y
_atom_site_fract_z
K1 0.0000 0.1226 0.2500
H1 0.0000 0.0000 0.0000
H2 0.1309 0.2344 0.7500
Rh1 0.0000 0.4788 0.2500
# **Uncorrected energy**: -0.262 Ry per atom
# **Density of states at the Fermi level**: 6.6 states/eV/cell
# **Energy above the lowest structure with this stoichiometry**: 0.372 eV/atom

---

# 22
# K4H7Rh PBE relaxed
data_K4H7Rh
_space_group_name_H-M_alt 'C 1 2/m 1'
_space_group_IT_number 12
_cell_length_a 15.1109
_cell_length_b 3.6178
_cell_length_c 9.1609
_cell_angle_alpha 90.00
_cell_angle_beta 120.04
_cell_angle_gamma 90.00
loop_
_space_group_symop_operation_xyz
'x,y,z'
'-x,-y,-z'
'-x,y,-z'
'x,-y,z'
'x+1/2,y+1/2,z'
'-x+1/2,-y+1/2,-z'
'-x+1/2,y+1/2,-z'
'x+1/2,-y+1/2,z'
loop_
_atom_site_label
_atom_site_fract_x
_atom_site_fract_y
_atom_site_fract_z
K1 0.0386 0.0000 0.2231
K2 0.2121 0.0000 0.7884
H1 0.0000 0.0000 0.5000
H2 0.0646 0.5000 0.7106
H3 0.1112 0.5000 0.4986
H4 0.1434 0.0000 0.0634
Rh1 0.0000 0.5000 0.5000
# **Uncorrected energy**: -0.231 Ry per atom
# **Density of states at the Fermi level**: 1.5 states/eV/cell

---

# 23
# KHRh3 PBE relaxed
data_KHRh3
_space_group_name_H-M_alt 'P m -3 m'
_space_group_IT_number 221
_space_group_name_Hall '-P 4 2 3'
_cell_length_a 4.1271
_cell_length_b 4.1271
_cell_length_c 4.1271
_cell_angle_alpha 90.00
_cell_angle_beta 90.00
_cell_angle_gamma 90.00
loop_
_atom_site_label
_atom_site_fract_x
_atom_site_fract_y
_atom_site_fract_z
K1 0.0000 0.0000 0.0000
H1 0.5000 0.5000 0.5000
Rh1 0.0000 0.5000 0.5000
# **Uncorrected energy**: -0.345 Ry per atom
# **Density of states at the Fermi level**: 4.9 states/eV/cell
# **Energy above the lowest structure with this stoichiometry**: 0.000 eV/atom